# 1
Compound: ZrPtRh2
Source: Alexandria
Functional: PBE
Structure: relaxed

Cell lengths 9.256, 2.997, 4.823 Å; angles 90.00, 102.31, 90.00 degrees
Space group C2/m (No. 12)
Asymmetric unit:
Zr  0.000  0.000  0.000
Pt  0.000  0.500  0.500
Rh  0.248  0.500  0.255

Results
ΔH_f (0 K) ... -0.506 eV per atom
Size of the total moment ... 0.0 μB/f.u.



# 2
Compound: ZrPt4Rh
Source: Alexandria
Functional: PBE
Structure: relaxed

Cell lengths 5.600, 15.412, 4.637 Å; angles 90.00, 90.00, 90.00 degrees
Space group Cmcm (No. 63)
Asymmetric unit:
Zr  0.000  0.199  0.250
Pt  0.246  0.459  0.750
Pt  0.247  0.360  0.250
Rh  0.000  0.304  0.750

Results
ΔH_f (0 K) ... -0.533 eV per atom
Size of the total moment ... 0.0 μB/f.u.



# 3
Compound: ZrPtRh2
Source: Alexandria
Functional: PBE
Structure: relaxed

Cell lengths 3.008, 3.778, 5.724 Å; angles 90.00, 90.00, 90.00 degrees
Space group Pmmm (No. 47)
Asymmetric unit:
Zr  0.000  0.000  0.000
Pt  0.000  0.000  0.500
Rh  0.500  0.500  0.259

Results
ΔH_f (0 K) ... -0.523 eV per atom
Size of the total moment ... 0.0 μB/f.u.



# 4
Compound: ZrPtRh3
Source: Alexandria
Functional: PBE
Structure: relaxed

Cell lengths 13.696, 4.196, 5.571 Å; angles 90.00, 90.36, 90.00 degrees
Space group C2/m (No. 12)
Asymmetric unit:
Zr  0.119  0.000  0.002
Pt  0.193  0.500  0.734
Rh  0.002  0.500  0.251
Rh  0.100  0.000  0.498
Rh  0.192  0.500  0.262

Results
ΔH_f (0 K) ... -0.482 eV per atom
Size of the total moment ... 0.0 μB/f.u.



# 5
Compound: ZrPt4Rh
Source: Alexandria
Functional: PBE
Structure: relaxed

Cell lengths 7.410, 7.410, 7.410 Å; angles 90.00, 90.00, 90.00 degrees
Space group F-43m (No. 216)
Asymmetric unit:
Zr  0.000  0.000  0.000
Pt  0.124  0.124  0.624
Rh  0.250  0.250  0.250

Results
ΔH_f (0 K) ... -0.462 eV per atom
Size of the total moment ... 0.4 μB/f.u.



# 6
Compound: ZrPtRh2
Source: Alexandria
Functional: PBE
Structure: relaxed

Cell lengths 3.426, 3.426, 5.650 Å; angles 90.00, 90.00, 90.00 degrees
Space group P4mm (No. 99)
Asymmetric unit:
Zr  0.000  0.000  0.000
Pt  0.500  0.500  0.258
Rh  0.000  0.000  0.528
Rh  0.500  0.500  0.732

Results
ΔH_f (0 K) ... -0.524 eV per atom
Size of the total moment ... 0.0 μB/f.u.



Volume? In order: 131, 400, 65, 320, 407, 66 Å³ per cell.